# PBE AcNd6Sm8, optimized geometry
# Uncorrected energy, eV per atom: -4.5187
# Calculated formation energy, eV per formula unit: 2.687
# Total moment, μB per cell: 0.00
# E above lowest polymorph, meV per atom: 29
data_AcNd6Sm8
_chemical_formula_sum 'Ac3 Nd18 Sm24'
_cell_length_a 9.9289
_cell_length_b 9.9289
_cell_length_c 18.6899
_cell_angle_alpha 90.00
_cell_angle_beta 90.00
_cell_angle_gamma 120.00
_space_group_name_H-M_alt 'R -3'
_space_group_IT_number 148
_space_group_name_Hall '-R 3'
loop_
_atom_site_label
_atom_site_type_symbol
_atom_site_fract_x
_atom_site_fract_y
_atom_site_fract_z
Ac1 Ac 0.0000 0.0000 0.0000
Nd1 Nd 0.0222 0.7856 0.4053
Sm1 Sm 0.0000 0.0000 0.2312
Sm2 Sm 0.0440 0.7570 0.8990